# 1
VASP calculation (PBE) on a geometry-optimized AcNd2Dy structure.

The structure in CIF format:
```
data_AcNd2Dy
_symmetry_space_group_name_H-M 'P 4/m m m'
_symmetry_Int_Tables_number 123
_symmetry_space_group_name_Hall '-P 4 2'
_cell_length_a 4.258
_cell_length_b 4.258
_cell_length_c 8.111
_cell_angle_alpha 90.00
_cell_angle_beta 90.00
_cell_angle_gamma 90.00
loop_
_atom_site_label
_atom_site_type_symbol
_atom_site_fract_x
_atom_site_fract_y
_atom_site_fract_z
_atom_site_occupancy
Ac1 Ac 0.000 0.000 0.000 1
Nd1 Nd 0.500 0.500 0.281 1
Dy1 Dy 0.000 0.000 0.500 1
```

Properties
E: -4.446 eV per atom
Calculated formation energy: 0.12 eV per atom
Polymorph energy (0 for the lowest one): 33 kJ/mol of formula units
Volume: 36.8 A^3/atom

=====

# 2
VASP calculation (PBE) on a geometry-optimized La6Tc2CI3 structure.

The structure in CIF format:
```
data_La6Tc2CI3
_symmetry_space_group_name_H-M 'C 1 2/m 1'
_symmetry_Int_Tables_number 12
_cell_length_a 7.252
_cell_length_b 12.256
_cell_length_c 8.497
_cell_angle_alpha 90.00
_cell_angle_beta 105.32
_cell_angle_gamma 90.00
loop_
_symmetry_equiv_pos_as_xyz
'x,y,z'
'-x,-y,-z'
'-x,y,-z'
'x,-y,z'
'x+1/2,y+1/2,z'
'-x+1/2,-y+1/2,-z'
'-x+1/2,y+1/2,-z'
'x+1/2,-y+1/2,z'
loop_
_atom_site_label
_atom_site_type_symbol
_atom_site_fract_x
_atom_site_fract_y
_atom_site_fract_z
_atom_site_occupancy
La1 La 0.227 0.156 0.170 1
La2 La 0.234 0.000 0.802 1
Tc1 Tc 0.000 0.373 0.000 1
C1 C 0.000 0.000 0.000 1
I1 I 0.000 0.176 0.500 1
I2 I 0.000 0.500 0.500 1
```

Properties
E: -5.936 eV per atom
Raw formation energy: -588 meV per atom
Volume: 30.3 A^3/atom

=====

# 3
VASP calculation (PBE) on a geometry-optimized Th4BeTe2Se structure.

The structure in CIF format:
```
data_Th4BeTe2Se
_symmetry_space_group_name_H-M 'P 1 2/m 1'
_symmetry_Int_Tables_number 10
_cell_length_a 7.343
_cell_length_b 4.276
_cell_length_c 7.780
_cell_angle_alpha 90.00
_cell_angle_beta 108.75
_cell_angle_gamma 90.00
loop_
_symmetry_equiv_pos_as_xyz
'x,y,z'
'-x,-y,-z'
'-x,y,-z'
'x,-y,z'
loop_
_atom_site_label
_atom_site_type_symbol
_atom_site_fract_x
_atom_site_fract_y
_atom_site_fract_z
_atom_site_occupancy
Th1 Th 0.222 0.000 0.207 1
Th2 Th 0.249 0.500 0.785 1
Be1 Be 0.000 0.500 0.000 1
Te1 Te 0.000 0.000 0.500 1
Te2 Te 0.500 0.500 0.500 1
Se1 Se 0.500 0.000 0.000 1
```

Properties
E: -6.287 eV per atom
Raw formation energy: -890 meV per atom
Volume: 28.9 A^3/atom

=====

# 4
VASP calculation (PBE) on a geometry-optimized Hf2FeAgH structure.

The structure in CIF format:
```
data_Hf2FeAgH
_symmetry_space_group_name_H-M 'P 4/m m m'
_symmetry_Int_Tables_number 123
_symmetry_space_group_name_Hall '-P 4 2'
_cell_length_a 4.595
_cell_length_b 4.595
_cell_length_c 3.475
_cell_angle_alpha 90.00
_cell_angle_beta 90.00
_cell_angle_gamma 90.00
loop_
_atom_site_label
_atom_site_type_symbol
_atom_site_fract_x
_atom_site_fract_y
_atom_site_fract_z
_atom_site_occupancy
Hf1 Hf 0.000 0.500 0.000 1
Fe1 Fe 0.000 0.000 0.500 1
Ag1 Ag 0.500 0.500 0.500 1
H1 H 0.000 0.000 0.000 1
```

Properties
E: -7.008 eV per atom
Volume: 14.7 A^3/atom

=====

# 5
VASP calculation (PBE) on a geometry-optimized CsTaAu3 structure.

The structure in CIF format:
```
data_CsTaAu3
_symmetry_space_group_name_H-M 'P m -3 m'
_symmetry_Int_Tables_number 221
_symmetry_space_group_name_Hall '-P 4 2 3'
_cell_length_a 5.314
_cell_length_b 5.314
_cell_length_c 5.314
_cell_angle_alpha 90.00
_cell_angle_beta 90.00
_cell_angle_gamma 90.00
loop_
_atom_site_label
_atom_site_type_symbol
_atom_site_fract_x
_atom_site_fract_y
_atom_site_fract_z
_atom_site_occupancy
Cs1 Cs 0.000 0.000 0.000 1
Ta1 Ta 0.500 0.500 0.500 1
Au1 Au 0.000 0.500 0.500 1
```

Properties
E: -4.168 eV per atom
Calculated formation energy: 0.34 eV per atom
Volume: 30.0 A^3/atom

=====

# 6
VASP calculation (PBE) on a geometry-optimized Ca4Zn3Ni structure.

The structure in CIF format:
```
data_Ca4Zn3Ni
_symmetry_space_group_name_H-M 'P m m 2'
_symmetry_Int_Tables_number 25
_cell_length_a 4.157
_cell_length_b 4.372
_cell_length_c 11.150
_cell_angle_alpha 90.00
_cell_angle_beta 90.00
_cell_angle_gamma 90.00
loop_
_symmetry_equiv_pos_as_xyz
'x,y,z'
'-x,-y,z'
'-x,y,z'
'x,-y,z'
loop_
_atom_site_label
_atom_site_type_symbol
_atom_site_fract_x
_atom_site_fract_y
_atom_site_fract_z
_atom_site_occupancy
Ca1 Ca 0.000 0.000 0.000 1
Ca2 Ca 0.000 0.500 0.274 1
Ca3 Ca 0.500 0.000 0.476 1
Ca4 Ca 0.500 0.500 0.780 1
Zn1 Zn 0.000 0.000 0.696 1
Zn2 Zn 0.000 0.500 0.567 1
Zn3 Zn 0.500 0.500 0.078 1
Ni1 Ni 0.500 0.000 0.186 1
```

Properties
E: -2.425 eV per atom
Calculated formation energy: -0.22 eV per atom
Volume: 25.3 A^3/atom

=====

# 7
VASP calculation (PBE) on a geometry-optimized NpBe2Si structure.

The structure in CIF format:
```
data_NpBe2Si
_symmetry_space_group_name_H-M 'R -3 m'
_symmetry_Int_Tables_number 166
_symmetry_space_group_name_Hall '-R 3 2"'
_cell_length_a 3.7537
_cell_length_b 3.7537
_cell_length_c 14.3438
_cell_angle_alpha 90.00
_cell_angle_beta 90.00
_cell_angle_gamma 120.00
loop_
_atom_site_label
_atom_site_type_symbol
_atom_site_fract_x
_atom_site_fract_y
_atom_site_fract_z
_atom_site_occupancy
Np1 Np 0.0000 0.0000 0.0000 1
Be1 Be 0.0000 0.0000 0.2032 1
Si1 Si 0.0000 0.0000 0.5000 1
```

Properties
E: -6.361 eV per atom
Raw formation energy: 93 meV per atom
Volume: 14.6 A^3/atom

=====

# 8
VASP calculation (PBE) on a geometry-optimized TaIr2Pt structure.

The structure in CIF format:
```
data_TaIr2Pt
_symmetry_space_group_name_H-M 'C 1 2/m 1'
_symmetry_Int_Tables_number 12
_cell_length_a 9.342
_cell_length_b 2.808
_cell_length_c 4.828
_cell_angle_alpha 90.00
_cell_angle_beta 100.48
_cell_angle_gamma 90.00
loop_
_symmetry_equiv_pos_as_xyz
'x,y,z'
'-x,-y,-z'
'-x,y,-z'
'x,-y,z'
'x+1/2,y+1/2,z'
'-x+1/2,-y+1/2,-z'
'-x+1/2,y+1/2,-z'
'x+1/2,-y+1/2,z'
loop_
_atom_site_label
_atom_site_type_symbol
_atom_site_fract_x
_atom_site_fract_y
_atom_site_fract_z
_atom_site_occupancy
Ta1 Ta 0.000 0.000 0.000 1
Ir1 Ir 0.244 0.500 0.249 1
Pt1 Pt 0.000 0.500 0.500 1
```

Properties
E: -9.285 eV per atom
Calculated formation energy: -0.38 eV per atom
Polymorph energy (0 for the lowest one): 103 kJ/mol of formula units
Volume: 15.6 A^3/atom